A relaxed RePbSe crystal, computed with PBE.

abc: 3.2523 3.2523 7.9788
angles: 90.00 90.00 120.00
Last column: nearest neighbours and their distance in Å.
Element x y z (fractional)
1 Re 0.0000 0.0000 0.0000  3 Se 2.46
2 Pb 0.3333 0.6667 0.6992  3 Re 3.05, 6 Pb 3.25
3 Se 0.6667 0.3333 0.1996  3 Re 2.46

Output
- D(E_F): 1.6 states/eV/cell
- E above lowest polymorph: 0.00 kcal/mol of atoms
- Formation energy from raw total energies: 0.228 eV per atom
- Magnetization: 0.0 μB/f.u.
- Crystal system: trigonal